A plane-wave DFT calculation with PBE was carried out for a relaxed structure of FeNi.

a = 8.9128 Å, b = 8.9128 Å, c = 2.4740 Å
α = 90.00°, β = 90.00°, γ = 90.00°
With the nearest neighbours (Å) after each atom.
Atoms (fractional coordinates):
1 Fe 0.1039 0.6419 0.0000  4 Ni 2.39-2.48, 6 Fe 2.47-2.54
2 Fe 0.1419 0.3961 0.5000  4 Ni 2.39-2.48, 6 Fe 2.47-2.54
3 Fe 0.3581 0.1039 0.0000  4 Ni 2.39-2.48, 6 Fe 2.47-2.54
4 Fe 0.3961 0.8581 0.5000  4 Ni 2.39-2.48, 6 Fe 2.47-2.54
5 Fe 0.6039 0.1419 0.5000  4 Ni 2.39-2.48, 6 Fe 2.47-2.54
6 Fe 0.6419 0.8961 0.0000  4 Ni 2.39-2.48, 6 Fe 2.47-2.54
7 Fe 0.8581 0.6039 0.5000  4 Ni 2.39-2.48, 6 Fe 2.47-2.54
8 Fe 0.8961 0.3581 0.0000  4 Ni 2.39-2.48, 6 Fe 2.47-2.54
9 Ni 0.0964 0.1646 0.0000  4 Fe 2.39-2.48, 4 Ni 2.40-2.47
10 Ni 0.1646 0.9036 0.0000  4 Fe 2.39-2.48, 4 Ni 2.40-2.47
11 Ni 0.3354 0.5964 0.5000  4 Fe 2.39-2.48, 4 Ni 2.40-2.47
12 Ni 0.4036 0.3354 0.5000  4 Fe 2.39-2.48, 4 Ni 2.40-2.47
13 Ni 0.5964 0.6646 0.5000  4 Fe 2.39-2.48, 4 Ni 2.40-2.47
14 Ni 0.6646 0.4036 0.5000  4 Fe 2.39-2.48, 4 Ni 2.40-2.47
15 Ni 0.8354 0.0964 0.0000  4 Fe 2.39-2.48, 4 Ni 2.40-2.47
16 Ni 0.9036 0.8354 0.0000  4 Fe 2.39-2.48, 4 Ni 2.40-2.47

Volume in Å³ per cell: 196.5
D(E_F) in states/eV/f.u.: 2.042
M_tot in μB per formula unit: 3.31
Space-group type: No. 87
Final energy in eV/atom: -6.813